## A
DFT (PBE) results for a geometry-optimized CeZr2Sc structure.

```
CeZr2Sc
1.0
3.011 0.842 0.312
1.361 6.250 1.815
0.828 1.127 11.350
Sc Ce Zr
2 2 4
direct
0.703 0.413 0.244
0.297 0.587 0.756
0.000 0.500 0.500
0.500 0.000 0.500
0.012 0.752 0.998
0.637 0.920 0.236
0.363 0.080 0.764
0.988 0.248 0.002
```

Space group   P-1, No. 2

## B
DFT (PBE) results for a geometry-optimized CeZr2Sc structure.

```
CeZr2Sc
1.0
-0.509 -3.970 2.178
4.567 -0.753 -0.306
0.626 2.148 4.063
Sc Zr Ce
1 2 1
direct
0.500 0.500 0.500
0.000 0.500 0.000
0.000 0.000 0.500
0.500 0.000 0.000
```

Space group   P4/mmm, No. 123

## C
DFT (PBE) results for a geometry-optimized CeZr2Sc structure.

```
CeZr2Sc
1.0
-2.183 0.233 -2.378
0.868 -0.603 -3.059
-2.985 -10.498 -0.492
Sc Zr Ce
1 2 1
direct
0.667 0.667 0.999
0.252 0.252 0.244
0.081 0.081 0.757
0.500 0.500 0.500
```

Space group   R3m, No. 160

## D
DFT (PBE) results for a geometry-optimized CeZr2Sc structure.

```
CeZr2Sc
1.0
3.849 0.000 0.000
0.000 3.849 0.000
0.000 0.000 6.566
Zr Sc Ce
2 1 1
direct
0.000 0.000 0.733
0.000 0.000 0.267
0.500 0.500 0.000
0.500 0.500 0.500
```

Space group   P4/mmm, No. 123

Which structure loses on stability? D does.

## A
DFT (PBE) results for a geometry-optimized CeZr2Sc5 structure.

```
CeZr2Sc5
1.0
-2.519 -4.406 -2.157
5.408 -5.119 4.140
-5.295 3.274 6.548
Sc Ce Zr
10 2 4
direct
0.383 0.435 0.120
0.830 0.250 0.000
0.737 0.935 0.120
0.114 0.689 0.637
0.170 0.750 0.000
0.617 0.565 0.880
0.886 0.311 0.363
0.476 0.811 0.363
0.263 0.065 0.880
0.524 0.189 0.637
0.500 0.500 0.500
0.000 0.000 0.500
0.938 0.624 0.247
0.691 0.876 0.753
0.062 0.376 0.753
0.309 0.124 0.247
```

Space group   C2/c, No. 15

## B
DFT (PBE) results for a geometry-optimized CeZr2Sc5 structure.

```
CeZr2Sc5
1.0
-0.245 3.934 3.556
-1.237 -5.692 2.250
12.713 -1.681 2.735
Zr Sc Ce
4 10 2
direct
0.173 0.346 0.862
0.827 0.654 0.362
0.827 0.654 0.138
0.173 0.346 0.638
0.908 0.816 0.606
0.577 0.153 0.250
0.092 0.184 0.394
0.637 0.274 0.514
0.363 0.726 0.486
0.423 0.847 0.750
0.363 0.726 0.014
0.092 0.184 0.106
0.908 0.816 0.894
0.637 0.274 0.986
0.686 0.373 0.750
0.314 0.627 0.250
```

Space group   Cmcm, No. 63

Which structure loses on stability? B does.

## A
DFT (PBE) results for a geometry-optimized CeSiSe4 structure.

```
CeSiSe4
1.0
7.332 -0.517 2.288
-4.102 6.099 2.288
-0.299 -0.517 7.675
Si Se Ce
2 8 2
direct
0.625 0.875 0.750
0.375 0.125 0.250
0.818 0.250 0.568
0.250 0.682 0.932
0.750 0.318 0.068
0.182 0.750 0.432
0.387 0.318 0.432
0.182 0.113 0.068
0.613 0.682 0.568
0.818 0.887 0.932
0.125 0.375 0.750
0.875 0.625 0.250
```

Space group   I4_1/amd, No. 141

## B
DFT (PBE) results for a geometry-optimized CeSiSe4 structure.

```
CeSiSe4
1.0
6.027 -0.778 0.000
-3.873 6.474 0.000
0.000 0.000 9.332
Se Ce Si
8 2 2
direct
0.603 0.738 0.750
0.014 0.694 0.434
0.014 0.694 0.066
0.621 0.871 0.250
0.986 0.306 0.566
0.397 0.262 0.250
0.379 0.129 0.750
0.986 0.306 0.934
0.996 0.633 0.750
0.004 0.367 0.250
0.011 0.895 0.250
0.989 0.105 0.750
```

Space group   P2_1/m, No. 11

Which structure loses on stability? B does.

## A
DFT (PBE) results for a geometry-optimized CeSiSe3 structure.

```
CeSiSe3
1.0
-7.197 1.566 -1.731
3.764 -3.800 5.352
1.300 7.281 1.596
Ce Si Se
2 2 6
direct
0.594 0.757 0.337
0.420 0.257 0.663
0.627 0.108 0.020
0.088 0.608 0.980
0.010 0.740 0.770
0.526 0.318 0.290
0.027 0.818 0.291
0.027 0.236 0.710
0.526 0.736 0.709
0.970 0.240 0.230
```

Space group   Ima2, No. 46

## B
DFT (PBE) results for a geometry-optimized CeSiSe3 structure.

```
CeSiSe3
1.0
-0.232 6.378 1.477
-3.812 1.457 -6.887
-8.221 -1.289 4.277
Si Se Ce
4 12 4
direct
0.479 0.936 0.991
0.979 0.564 0.491
0.521 0.064 0.491
0.021 0.436 0.991
0.841 0.175 0.425
0.336 0.318 0.531
0.659 0.675 0.425
0.836 0.182 0.031
0.111 0.532 0.238
0.389 0.032 0.238
0.159 0.825 0.925
0.889 0.468 0.738
0.164 0.818 0.531
0.611 0.968 0.738
0.664 0.682 0.031
0.341 0.325 0.925
0.454 0.612 0.726
0.954 0.888 0.226
0.546 0.388 0.226
0.046 0.112 0.726
```

Space group   Pna2_1, No. 33

Which structure loses on stability? A does.

## A
DFT (PBE) results for a geometry-optimized Ce2Sm3Se8 structure.

```
Ce2Sm3Se8
1.0
-3.434 -3.209 -1.602
1.692 2.954 -9.548
4.169 -6.510 4.106
Ce Sm Se
2 3 8
direct
0.500 0.736 0.473
0.500 0.264 0.527
0.000 0.280 0.000
0.500 0.000 0.000
0.000 0.720 0.000
0.500 0.365 0.248
0.000 0.880 0.760
0.500 0.635 0.752
0.000 0.629 0.258
0.000 0.371 0.742
0.500 0.117 0.752
0.500 0.883 0.248
0.000 0.120 0.240
```

Space group   Cmmm, No. 65

## B
DFT (PBE) results for a geometry-optimized Ce2Sm3Se8 structure.

```
Ce2Sm3Se8
1.0
7.065 0.000 0.167
0.000 8.348 0.000
-2.660 -4.174 6.955
Sm Se Ce
3 8 2
direct
0.500 0.000 0.000
0.000 0.739 0.000
0.000 0.261 0.000
0.415 0.894 0.253
0.585 0.106 0.747
0.115 0.389 0.779
0.926 0.119 0.237
0.885 0.611 0.221
0.415 0.359 0.253
0.585 0.641 0.747
0.074 0.881 0.763
0.333 0.260 0.520
0.667 0.740 0.480
```

Space group   C2/m, No. 12

Which structure loses on stability? A does.

## A
DFT (PBE) results for a geometry-optimized CeSmSe3 structure.

```
CeSmSe3
1.0
-1.110 -3.949 0.664
6.394 -2.205 -2.428
3.392 0.475 8.501
Sm Se Ce
2 6 2
direct
0.500 0.500 0.399
0.000 0.000 0.601
0.500 0.728 0.671
0.000 0.228 0.329
0.000 0.000 0.934
0.000 0.772 0.329
0.500 0.272 0.671
0.500 0.500 0.066
0.000 0.500 0.847
0.500 0.000 0.153
```

Space group   Pmmn, No. 59

## B
DFT (PBE) results for a geometry-optimized CeSmSe3 structure.

```
CeSmSe3
1.0
-2.174 2.978 1.974
-5.366 -5.290 2.071
8.217 -3.013 13.596
Sm Ce Se
4 4 12
direct
0.750 0.234 0.457
0.250 0.766 0.543
0.750 0.734 0.043
0.250 0.266 0.957
0.250 0.636 0.295
0.250 0.136 0.205
0.750 0.364 0.705
0.750 0.864 0.795
0.250 0.151 0.780
0.750 0.349 0.280
0.750 0.123 0.067
0.250 0.377 0.567
0.750 0.493 0.892
0.750 0.993 0.608
0.750 0.849 0.220
0.250 0.507 0.108
0.750 0.623 0.433
0.250 0.007 0.392
0.250 0.651 0.720
0.250 0.877 0.933
```

Space group   Pnma, No. 62

Which structure loses on stability? A does.

## A
DFT (PBE) results for a geometry-optimized CeSmSe2 structure.

```
CeSmSe2
1.0
-1.522 0.659 -5.685
-2.670 -5.285 0.102
-2.966 4.902 4.447
Sm Se Ce
2 4 2
direct
0.250 0.750 0.500
0.500 0.500 0.000
0.499 0.999 0.998
0.251 0.251 0.502
0.001 0.501 0.002
0.749 0.749 0.498
0.750 0.250 0.500
0.000 0.000 0.000
```

Space group   I4_1/amd, No. 141

## B
DFT (PBE) results for a geometry-optimized CeSmSe2 structure.

```
CeSmSe2
1.0
-1.184 -1.305 3.716
3.121 -1.854 -1.933
9.165 9.067 6.103
Se Ce Sm
4 2 2
direct
0.667 0.333 0.875
0.333 0.667 0.125
0.333 0.667 0.375
0.667 0.333 0.625
0.000 0.000 0.000
0.000 0.000 0.500
0.667 0.333 0.250
0.333 0.667 0.750
```

Space group   P6_3/mmc, No. 194

## C
DFT (PBE) results for a geometry-optimized CeSmSe2 structure.

```
CeSmSe2
1.0
4.071 0.000 0.000
2.036 3.526 0.000
2.036 1.175 7.367
Sm Se Ce
1 2 1
direct
0.495 0.495 0.514
0.084 0.084 0.749
0.250 0.250 0.251
0.671 0.671 0.986
```

Space group   R3m, No. 160

Which structure loses on stability? C does.

## A
DFT (PBE) results for a geometry-optimized CeSm2Se structure.

```
CeSm2Se
1.0
3.773 0.000 0.000
1.886 3.267 0.000
1.886 1.089 10.445
Sm Ce Se
2 1 1
direct
0.107 0.107 0.678
0.893 0.893 0.322
0.000 0.000 0.000
0.500 0.500 0.500
```

Space group   R-3m, No. 166

## B
DFT (PBE) results for a geometry-optimized CeSm2Se structure.

```
CeSm2Se
1.0
3.839 0.000 0.000
1.920 3.325 0.000
1.920 1.108 9.670
Ce Sm Se
1 2 1
direct
0.500 0.500 0.501
0.066 0.066 0.802
0.267 0.267 0.198
0.667 0.667 0.999
```

Space group   R3m, No. 160

Which structure loses on stability? A does.

## A
DFT (PBE) results for a geometry-optimized Ce3Sm2Se8 structure.

```
Ce3Sm2Se8
1.0
-4.640 -1.754 0.689
3.028 -4.701 8.421
-3.138 8.147 -0.389
Se Sm Ce
8 2 3
direct
0.000 0.883 0.767
0.000 0.372 0.743
0.000 0.628 0.257
0.500 0.115 0.752
0.500 0.637 0.752
0.500 0.885 0.248
0.000 0.117 0.233
0.500 0.363 0.248
0.500 0.731 0.462
0.500 0.269 0.538
0.000 0.725 0.000
0.500 0.000 0.000
0.000 0.275 0.000
```

Space group   Cmmm, No. 65

## B
DFT (PBE) results for a geometry-optimized Ce3Sm2Se8 structure.

```
Ce3Sm2Se8
1.0
0.025 -4.347 5.680
8.114 -1.805 -1.417
-2.173 7.757 2.765
Sm Se Ce
2 8 3
direct
0.340 0.263 0.525
0.660 0.737 0.475
0.104 0.387 0.775
0.073 0.883 0.765
0.414 0.893 0.253
0.927 0.117 0.235
0.896 0.613 0.225
0.586 0.641 0.747
0.414 0.359 0.253
0.586 0.107 0.747
0.000 0.739 0.000
0.000 0.261 0.000
0.500 0.000 0.000
```

Space group   C2/m, No. 12

Which structure loses on stability? A does.